(1)
Mg2RhAu4 GGA-PBE relaxed; calculated total energy = -3.776 eV per atom; formation energy from the elements = -397 meV/atom; spin magnetization = 0.00 μB/atom
1.0
-5.2708 -2.0932 0.7557
4.6283 -3.1769 1.1043
2.1305 3.9823 3.5123
Mg Au Rh
2 4 1
direct
0.5000 0.0000 0.5000
0.5000 0.5000 0.0000
0.5000 0.5000 0.5000
0.5000 0.0000 0.0000
0.0000 0.0000 0.5000
0.0000 0.5000 0.0000
0.0000 0.0000 0.0000

(2)
MgRh2Au GGA-PBE relaxed; calculated total energy = -5.106 eV per atom; formation energy from the elements = -212 meV/atom; spin magnetization = 0.00 μB/atom
1.0
-2.2802 -2.8437 -1.4915
0.5891 -2.1866 3.2683
-3.1880 1.6692 1.6913
Rh Mg Au
2 1 1
direct
0.0000 0.0000 0.0000
0.0000 0.5000 0.5000
0.5000 0.0000 0.5000
0.5000 0.5000 0.0000

(3)
Mg6RhAu GGA-PBE relaxed; energy above the lowest structure with this stoichiometry = 176 meV per atom; calculated total energy = -2.656 eV per atom; formation energy from the elements = -131 meV/atom; spin magnetization = 0.00 μB/atom
1.0
6.1741 0.4637 0.0000
1.9761 5.7416 0.0000
0.9880 2.8708 5.1183
Rh Mg Au
1 6 1
direct
0.5000 0.5000 0.0000
0.7409 0.0618 0.3939
0.2558 0.2549 0.0000
0.2591 0.5443 0.3939
0.7409 0.4557 0.6061
0.7442 0.7451 0.0000
0.2591 0.9382 0.6061
0.0000 0.0000 0.0000

(4)
MgRh2Au GGA-PBE relaxed; calculated total energy = -5.080 eV per atom; formation energy from the elements = -186 meV/atom; spin magnetization = 0.00 μB/atom
1.0
2.8405 0.0000 0.0000
0.0000 2.8405 0.0000
0.0000 0.0000 7.8196
Rh Mg Au
2 1 1
direct
0.0000 0.0000 0.0068
0.5000 0.5000 0.2306
0.5000 0.5000 0.7636
0.0000 0.0000 0.4990

(5)
MgRh2Au GGA-PBE relaxed; calculated total energy = -5.070 eV per atom; formation energy from the elements = -176 meV/atom; spin magnetization = 0.00 μB/atom
1.0
-0.5416 4.5072 -1.7454
0.3976 -0.0815 -4.8466
-2.6967 -2.6308 3.0758
Au Rh Mg
1 2 1
direct
0.2500 0.7500 0.5000
0.5000 0.5000 0.0000
0.0000 0.0000 0.0000
0.7500 0.2500 0.5000

(6)
Mg4RhAu GGA-PBE relaxed; energy above the lowest structure with this stoichiometry = 0 meV per atom; calculated total energy = -3.261 eV per atom; formation energy from the elements = -426 meV/atom; spin magnetization = 0.00 μB/atom
1.0
-2.1057 -2.4692 0.6481
1.3568 -4.2093 -3.1799
1.4414 -1.6448 6.8651
Mg Rh Au
4 1 1
direct
0.1626 0.4880 0.1867
0.8374 0.5120 0.8133
0.6882 0.9601 0.6635
0.3118 0.0399 0.3365
0.5000 0.5000 0.5000
0.0000 0.0000 0.0000

(7)
MgRh2Au GGA-PBE relaxed; calculated total energy = -4.783 eV per atom; formation energy from the elements = 111 meV/atom; spin magnetization = 0.16 μB/atom
1.0
3.7824 0.0000 0.0000
0.0000 3.7824 0.0000
1.8912 1.8912 9.5721
Rh Au Mg
4 2 2
direct
0.6233 0.1250 0.2500
0.8750 0.8733 0.7500
0.1267 0.6250 0.2500
0.3750 0.3767 0.7500
0.0000 0.0000 0.0000
0.7500 0.2500 0.5000
0.2500 0.7500 0.5000
0.5000 0.5000 0.0000

(8)
Mg4Rh2Au GGA-PBE relaxed; calculated total energy = -3.911 eV per atom; formation energy from the elements = -431 meV/atom; spin magnetization = 0.00 μB/atom
1.0
4.2927 0.0000 1.3411
1.9369 3.8309 1.3411
-0.0061 -0.0037 7.5601
Mg Rh Au
4 2 1
direct
0.3863 0.3863 0.8412
0.8686 0.8686 0.3941
0.6137 0.6137 0.1588
0.1314 0.1314 0.6059
0.7426 0.7426 0.7723
0.2574 0.2574 0.2277
0.0000 0.0000 0.0000

(9)
Mg5Rh4Au GGA-PBE relaxed; calculated total energy = -4.584 eV per atom; formation energy from the elements = -519 meV/atom; spin magnetization = 0.00 μB/atom
1.0
-0.6670 -0.7539 -3.0138
-2.5606 -1.6121 0.9700
-8.5969 12.8637 -1.3154
Mg Rh Au
5 4 1
direct
0.5000 0.5000 0.8879
0.5000 0.5000 0.6954
0.5000 0.5000 0.5000
0.5000 0.5000 0.3046
0.5000 0.5000 0.1121
0.0000 0.0000 0.5982
0.0000 0.0000 0.4018
0.0000 0.0000 0.2039
0.0000 0.0000 0.7961
0.0000 0.0000 0.0000

(10)
Mg5RhAu6 GGA-PBE relaxed; calculated total energy = -3.421 eV per atom; formation energy from the elements = -506 meV/atom; spin magnetization = 0.00 μB/atom
1.0
4.2177 -0.0033 -1.1821
-3.0953 6.5925 -2.9472
-0.0770 -0.4742 7.8420
Rh Au Mg
1 6 5
direct
0.0000 0.0000 0.0000
0.2571 0.0901 0.4240
0.7429 0.5760 0.9099
0.2288 0.7288 0.7288
0.7429 0.9099 0.5760
0.7712 0.2712 0.2712
0.2571 0.4240 0.0901
0.5000 0.8520 0.1480
0.0000 0.6742 0.3258
0.0000 0.3258 0.6742
0.5000 0.5000 0.5000
0.5000 0.1480 0.8520